First-principles (PBE) data for an optimized crystal structure of CrInRh2, as listed in the Alexandria database.

Cell and atoms, written as POSCAR:
```
CrInRh2
1.0
1.418 0.819 8.774
-1.418 0.819 8.774
0.000 -1.637 8.774
Cr In Rh
1 1 2
Cartesian
0.000 0.000 0.000
0.000 0.000 19.864
0.000 0.000 6.879
0.000 0.000 13.354
```

## Properties
The calculation puts the formation energy at 209 meV per atom. Its magnetization is 0.3 μB per cell. As for the uncorrected energy: -26.2 eV for the cell shown. Its crystal system is trigonal.

***

First-principles (PBE) data for an optimized crystal structure of Ca2PrCl, as listed in the Alexandria database.

Cell and atoms, written as POSCAR:
```
Ca2PrCl
1.0
1.895 1.094 10.272
-1.895 1.094 10.272
0.000 -2.188 10.272
Ca Pr Cl
2 1 1
Cartesian
0.000 0.000 7.248
0.000 0.000 23.568
0.000 0.000 0.000
0.000 0.000 15.408
```

## Properties
Its magnetization is 0.0 μB per cell. The calculation puts the formation energy (no corrections) at -0.817 eV/atom. As for the uncorrected energy: -13.9 eV for the cell shown. Its crystal system is trigonal.

***

First-principles (PBE) data for an optimized crystal structure of Nd2Al3ZnGa4, as listed in the Alexandria database.

Cell and atoms, written as POSCAR:
```
Nd2Al3ZnGa4
1.0
4.348 0.000 0.000
0.000 4.348 0.000
0.000 0.000 10.637
Nd Al Zn Ga
2 3 1 4
Cartesian
0.000 2.174 2.631
2.174 0.000 8.006
0.000 2.174 9.226
2.174 0.000 1.411
2.174 2.174 5.318
0.000 0.000 5.318
0.000 0.000 0.000
0.000 2.174 6.749
2.174 0.000 3.888
2.174 2.174 0.000
```

## Properties
The calculation puts the formation energy at -408 meV per atom. Its magnetization is 0.0 μB per cell. As for the uncorrected energy: -38.2 eV for the cell shown. Its crystal system is tetragonal.

***

Which value of magnetization does entry 2 give? 0.0 μB per cell

***

Please write out number 1 again, unchanged.
First-principles (PBE) data for an optimized crystal structure of CrInRh2, as listed in the Alexandria database.

Cell and atoms, written as POSCAR:
```
CrInRh2
1.0
1.418 0.819 8.774
-1.418 0.819 8.774
0.000 -1.637 8.774
Cr In Rh
1 1 2
Cartesian
0.000 0.000 0.000
0.000 0.000 19.864
0.000 0.000 6.879
0.000 0.000 13.354
```

## Properties
The calculation puts the formation energy at 209 meV per atom. Its magnetization is 0.3 μB per cell. As for the uncorrected energy: -26.2 eV for the cell shown. Its crystal system is trigonal.

***

The highest magnetization belongs to which entry? CrInRh2

***

Number 3 is which compound? Nd2Al3ZnGa4